Material: Zr2PdPt6
Method: DFT, PBE
State: optimized geometry

a b c (Å): 5.492 5.492 6.384
angles (deg): 102.39 102.39 58.10
Atoms (fractional coordinates):
1 Zr 0.164 0.164 0.148
2 Zr 0.836 0.836 0.852
3 Pd 0.500 0.500 0.000
4 Pt 0.159 0.673 0.291
5 Pt 0.308 0.308 0.605
6 Pt 0.327 0.841 0.709
7 Pt 0.673 0.159 0.291
8 Pt 0.692 0.692 0.395
9 Pt 0.841 0.327 0.709

Results
SG: C2/m
DFT total energy in eV/atom: -7.13
Distance to the lowest polymorph of the same formula in eV/atom: 0.166
N(E_F) in states/eV per atom: 0.55
Total magnetization in μB per formula unit: 0.0

=====

Material: AlZnPb
Method: DFT, PBE
State: optimized geometry

a b c (Å): 4.655 4.655 4.655
angles (deg): 60.00 60.00 60.00
Atoms (fractional coordinates):
1 Al 0.000 0.000 0.000
2 Zn 0.750 0.750 0.750
3 Pb 0.500 0.500 0.500

Results
SG: F-43m
DFT total energy in eV/atom: -2.66
Distance to the lowest polymorph of the same formula in eV/atom: 0.049
N(E_F) in states/eV per atom: 0.79
Total magnetization in μB per formula unit: 0.0

=====

Material: Er8Ru2Rh
Method: DFT, PBE
State: optimized geometry

a b c (Å): 8.950 8.950 6.805
angles (deg): 106.80 106.80 31.14
Atoms (fractional coordinates):
1 Er 0.031 0.031 0.290
2 Er 0.204 0.204 0.814
3 Er 0.331 0.331 0.535
4 Er 0.404 0.404 0.044
5 Er 0.596 0.596 0.956
6 Er 0.669 0.669 0.465
7 Er 0.796 0.796 0.186
8 Er 0.969 0.969 0.710
9 Ru 0.185 0.185 0.200
10 Ru 0.815 0.815 0.800
11 Rh 0.500 0.500 0.500

Results
SG: C2/m
DFT total energy in eV/atom: -6.05
Distance to the lowest polymorph of the same formula in eV/atom: 0.000
N(E_F) in states/eV per atom: 0.91
Total magnetization in μB per formula unit: 0.0